! HoFeAg | Alexandria via LeMat-Bulk | PBE-GGA | optimized geometry; values from VASP
&SYSTEM
  ibrav = 0, nat = 6, ntyp = 3
/
ATOMIC_SPECIES
Fe 55.84 Fe.upf
Ho 164.93 Ho.upf
Ag 107.87 Ag.upf
ATOMIC_POSITIONS crystal
Fe 0.7677 0.0946 0.5354
Fe 0.2323 0.9054 0.4646
Ho 0.8733 0.6704 0.7466
Ho 0.1267 0.3296 0.2534
Ag 0.4283 0.2180 0.8566
Ag 0.5717 0.7820 0.1434
CELL_PARAMETERS angstrom
3.8458 0.0000 0.0000
0.0000 4.9171 -0.0867
-1.9229 -1.1629 6.2219
! **SG**: C2/m
! **Formation energy from the elements**: -1 meV per atom
! **Uncorrected energy**: -31.79 eV/cell